## NaZnSeN2 (PBE)

Data for an optimized crystal structure of NaZnSeN2.

## Properties
- E_form (uncorrected): 1.827 eV per atom

Lattice parameters (Å, degrees): 4.3183 4.3183 5.7809 90.00 90.00 90.00
Closest atoms and distances in Å follow each position.
Space group P4/mmm (No. 123)
One atom of each set of equivalent atoms:
Na 0.0000 0.0000 0.0000  4 N 2.16
Zn 0.5000 0.5000 0.5000  4 Se 3.05
Se 0.0000 0.0000 0.5000  2 Na 2.89, 4 Zn 3.05
N 0.0000 0.5000 0.0000  2 Na 2.16

## InNi10P3 (PBE)

Data for an optimized crystal structure of InNi10P3.

## Properties
- ΔE_f: -397 meV/atom

Lattice parameters (Å, degrees): 11.1249 11.1249 11.1249 90.00 90.00 90.00
Closest atoms and distances in Å follow each position.
Space group Fm-3m (No. 225)
One atom of each set of equivalent atoms:
In 0.2500 0.2500 0.2500  4 Ni 2.60
Ni 0.0000 0.1742 0.1742  2 P 2.17, 1 Ni 2.39
Ni 0.1152 0.1152 0.3848  3 P 2.27
P 0.0000 0.0000 0.2622  8 Ni 2.17-2.27

## Sc2TlMo (PBE)

Data for an optimized crystal structure of Sc2TlMo.

## Properties
- ΔE_f: 72 meV/atom

Lattice parameters (Å, degrees): 4.1195 4.3089 9.1672 90.00 90.00 90.00
Closest atoms and distances in Å follow each position.
Space group Imm2 (No. 44)
One atom of each set of equivalent atoms:
Sc 0.0000 0.0000 0.0000  4 Mo 2.98, 4 Sc 3.09-3.14, 4 Tl 3.09-3.13
Sc 0.0000 0.5000 0.2485  4 Tl 2.98, 4 Mo 3.07-3.15, 4 Sc 3.09-3.14
Tl 0.0000 0.5000 0.7518  8 Sc 2.98-3.13, 4 Mo 3.07-3.16
Mo 0.0000 0.0000 0.4996  8 Sc 2.98-3.15, 4 Tl 3.07-3.16

## LiAl3Zn (PBE)

Data for an optimized crystal structure of LiAl3Zn.

## Properties
- ΔE_f: -23 meV/atom

Lattice parameters (Å, degrees): 6.8288 6.8288 6.8288 90.00 90.00 90.00
Closest atoms and distances in Å follow each position.
Space group P2_13 (No. 198)
One atom of each set of equivalent atoms:
Li 0.0596 0.0596 0.0596  3 Zn 2.59, 6 Al 2.75-2.84
Al 0.0539 0.8797 0.7001  3 Li 2.75-2.92, 3 Zn 2.76-2.91, 6 Al 2.83-2.96
Zn 0.1950 0.8050 0.3050  3 Li 2.59, 6 Al 2.76-2.84

## LaMgCl (PBE)

Data for an optimized crystal structure of LaMgCl.

## Properties
- E_form (uncorrected): -0.923 eV per atom

Lattice parameters (Å, degrees): 3.5738 4.8132 9.5313 82.56 89.99 90.00
Closest atoms and distances in Å follow each position.
Space group P1 (No. 1)
One atom of each set of equivalent atoms:
La 0.0000 0.0000 0.0000  5 Cl 2.98-3.05
La 0.5001 0.3758 0.6634  5 Cl 2.98-3.05
Mg 0.4976 0.9320 0.3297  4 Mg 2.97-3.02
Mg 0.9980 0.4369 0.3333  4 Mg 2.97-3.02
Cl 0.0004 0.8759 0.7001  5 La 2.98-3.05
Cl 0.5003 0.5001 0.9633  5 La 2.98-3.05

## EuMgCuGe (PBE)

Data for an optimized crystal structure of EuMgCuGe.

## Properties
- ΔE_f: -278 meV/atom

Lattice parameters (Å, degrees): 6.9080 6.9080 6.9080 90.00 90.00 90.00
Closest atoms and distances in Å follow each position.
Space group F-43m (No. 216)
One atom of each set of equivalent atoms:
Eu 0.0000 0.0000 0.0000  4 Ge 2.99, 4 Cu 2.99
Mg 0.0000 0.0000 0.5000  4 Ge 2.99, 4 Cu 2.99
Cu 0.2500 0.2500 0.2500  4 Mg 2.99, 4 Eu 2.99
Ge 0.2500 0.2500 0.7500  4 Mg 2.99, 4 Eu 2.99

## PmYTe2Cl (PBE)

Data for an optimized crystal structure of PmYTe2Cl.

## Properties
- E_form (uncorrected): -1.610 eV per atom

Lattice parameters (Å, degrees): 4.3384 4.3384 15.0061 90.00 90.00 90.00
Closest atoms and distances in Å follow each position.
Space group P4/nmm (No. 129, origin choice 2)
One atom of each set of equivalent atoms:
Pm 0.2500 0.2500 0.1331  4 Cl 2.95, 4 Te 3.25
Y 0.2500 0.2500 0.5837  6 Te 3.11-3.17
Te 0.2500 0.2500 0.3763  5 Y 3.11-3.13
Te 0.2500 0.2500 0.7949  1 Y 3.17, 4 Pm 3.25
Cl 0.2500 0.7500 0.0000  4 Pm 2.95, 4 Cl 3.07

## Sm8CoPb2 (PBE)

Data for an optimized crystal structure of Sm8CoPb2.

## Properties
- ΔE_f: -214 meV/atom

Lattice parameters (Å, degrees): 19.3686 4.8500 7.1751 90.00 99.35 90.00
Closest atoms and distances in Å follow each position.
Space group C2/m (No. 12)
One atom of each set of equivalent atoms:
Sm 0.0061 0.0000 0.2794  2 Co 2.91, 1 Sm 3.21
Sm 0.0930 0.5000 0.0038  2 Pb 3.41, 10 Sm 3.53-3.75, 1 Co 3.77
Sm 0.1354 0.5000 0.5266  1 Co 2.60
Sm 0.2167 0.0000 0.8346  3 Pb 3.30-3.35, 5 Sm 3.48-3.68
Co 0.0000 0.5000 0.5000  6 Sm 2.60-2.91
Pb 0.1823 0.0000 0.2779  9 Sm 3.23-3.58

## Dy3Mg5 (PBE)

Data for an optimized crystal structure of Dy3Mg5.

## Properties
- ΔE_f: -62 meV/atom

Lattice parameters (Å, degrees): 7.6575 10.5555 5.1985 90.00 90.00 90.00
Closest atoms and distances in Å follow each position.
Space group Cmmm (No. 65)
One atom of each set of equivalent atoms:
Dy 0.0000 0.0000 0.0000  8 Mg 3.24-3.26
Dy 0.0000 0.2578 0.5000  8 Mg 3.18-3.34
Mg 0.0000 0.5000 0.0000  8 Mg 3.21-3.26
Mg 0.2463 0.5000 0.5000  6 Dy 3.18-3.34, 2 Mg 3.21
Mg 0.2500 0.2500 0.0000  6 Dy 3.23-3.26, 2 Mg 3.26

## SrCa2InRh (PBE)

Data for an optimized crystal structure of SrCa2InRh.

## Properties
- ΔE_f: -309 meV/atom

Lattice parameters (Å, degrees): 5.4487 5.4487 5.3869 90.00 90.00 90.00
Closest atoms and distances in Å follow each position.
Space group P4/mmm (No. 123)
One atom of each set of equivalent atoms:
Sr 0.0000 0.0000 0.0000  8 Ca 3.83, 4 In 3.85
Ca 0.0000 0.5000 0.5000  2 Rh 2.72
In 0.5000 0.5000 0.0000  2 Rh 2.69
Rh 0.5000 0.5000 0.5000  2 In 2.69, 4 Ca 2.72

## LiIrBr2 (PBE)

Data for an optimized crystal structure of LiIrBr2.

## Properties
- E_form (uncorrected): 0.271 eV per atom

Lattice parameters (Å, degrees): 6.7718 6.7718 6.7718 90.00 90.00 90.00
Closest atoms and distances in Å follow each position.
Space group Fm-3m (No. 225)
One atom of each set of equivalent atoms:
Li 0.0000 0.0000 0.0000  8 Br 2.93
Ir 0.0000 0.0000 0.5000  8 Br 2.93
Br 0.2500 0.2500 0.2500  4 Li 2.93, 4 Ir 2.93

## Cd6Hg2Pb3 (PBE)

Data for an optimized crystal structure of Cd6Hg2Pb3.

## Properties
- ΔE_f: 48 meV/atom

Lattice parameters (Å, degrees): 3.6218 3.6218 77.2882 90.00 90.00 120.00
Closest atoms and distances in Å follow each position.
Space group R-3m (No. 166, hexagonal axes)
One atom of each set of equivalent atoms:
Cd 0.0000 0.0000 0.0955  3 Hg 3.02, 3 Pb 3.22
Cd 0.0000 0.0000 0.1810  3 Hg 3.05, 3 Cd 3.05
Cd 0.0000 0.0000 0.3651  6 Pb 3.22-3.24
Hg 0.0000 0.0000 0.4570  6 Cd 3.02-3.05
Pb 0.0000 0.0000 0.0000  6 Cd 3.22
Pb 0.0000 0.0000 0.2696  6 Cd 3.22-3.24